Crystalline MgZr2TlH at its relaxed geometry. Source: Alexandria, functional PBE-GGA.

Cell: 4.3627 4.3627 4.6978 Å, 90.00 90.00 90.00°
Fractional coordinates of all 5 atoms:
Mg (0.0000, 0.0000, 0.0000)
Zr (0.0000, 0.5000, 0.5000)
Zr (0.5000, 0.0000, 0.5000)
Tl (0.5000, 0.5000, 0.0000)
H (0.0000, 0.0000, 0.5000)

Calculated values
As for the space group: P4/mmm, No. 123. As for the energy above the most stable polymorph in this dataset: 0 meV/atom. The calculation puts the uncorrected energy at -25.4 eV per cell. The value obtained for the total magnetization is 0.00 μB/f.u. The value obtained for the density of states at the Fermi level is 3.42 states/eV per cell.

***

Crystalline Tm2MgH8 at its relaxed geometry. Source: Alexandria, functional PBE-GGA.

Cell: 6.1278 6.1278 6.1278 Å, 145.58 134.93 57.92°
Fractional coordinates of all 11 atoms:
Tm (0.1728, 0.1728, 0.0000)
Tm (0.8272, 0.8272, 0.0000)
Mg (0.5000, 0.5000, 0.0000)
H (0.0970, 0.3569, 0.7401)
H (0.2440, 0.0000, 0.2440)
H (0.3049, 0.8049, 0.5000)
H (0.3832, 0.6431, 0.7401)
H (0.6168, 0.3569, 0.2599)
H (0.6951, 0.1951, 0.5000)
H (0.7560, 0.0000, 0.7560)
H (0.9030, 0.6431, 0.2599)

Calculated values
As for the space group: Immm, No. 71. The calculation puts the uncorrected energy at -42.5 eV per cell. The value obtained for the total magnetization is 0.00 μB/f.u.

***

Crystalline TmMg2H6 at its relaxed geometry. Source: Alexandria, functional PBE-GGA.

Cell: 5.2679 5.2679 5.2679 Å, 60.00 60.00 60.00°
Fractional coordinates of all 9 atoms:
Tm (0.0000, 0.0000, 0.0000)
Mg (0.2500, 0.2500, 0.2500)
Mg (0.7500, 0.7500, 0.7500)
H (0.2735, 0.2735, 0.7265)
H (0.2735, 0.7265, 0.2735)
H (0.2735, 0.7265, 0.7265)
H (0.7265, 0.2735, 0.2735)
H (0.7265, 0.2735, 0.7265)
H (0.7265, 0.7265, 0.2735)

Calculated values
As for the space group: Fm-3m, No. 225. The calculation puts the uncorrected energy at -25.8 eV per cell. The value obtained for the total magnetization is 0.00 μB/f.u. The value obtained for the density of states at the Fermi level is 1.63 states/eV per cell.

***

Crystalline Tm2MgH at its relaxed geometry. Source: Alexandria, functional PBE-GGA.

Cell: 8.2231 8.2231 8.2231 Å, 24.67 24.67 24.67°
Fractional coordinates of all 4 atoms:
Tm (0.2225, 0.2225, 0.2225)
Tm (0.7775, 0.7775, 0.7775)
Mg (0.0000, 0.0000, 0.0000)
H (0.5000, 0.5000, 0.5000)

Calculated values
As for the space group: R-3m, No. 166. The calculation puts the uncorrected energy at -14.6 eV per cell. The value obtained for the total magnetization is 0.00 μB/f.u. The value obtained for the density of states at the Fermi level is 3.87 states/eV per cell.

***

Q: Among the records above, which one has the highest uncorrected energy?
A: Tm2MgH

***

Copy entry 1 word for word.
Crystalline MgZr2TlH at its relaxed geometry. Source: Alexandria, functional PBE-GGA.

Cell: 4.3627 4.3627 4.6978 Å, 90.00 90.00 90.00°
Fractional coordinates of all 5 atoms:
Mg (0.0000, 0.0000, 0.0000)
Zr (0.0000, 0.5000, 0.5000)
Zr (0.5000, 0.0000, 0.5000)
Tl (0.5000, 0.5000, 0.0000)
H (0.0000, 0.0000, 0.5000)

Calculated values
As for the space group: P4/mmm, No. 123. As for the energy above the most stable polymorph in this dataset: 0 meV/atom. The calculation puts the uncorrected energy at -25.4 eV per cell. The value obtained for the total magnetization is 0.00 μB/f.u. The value obtained for the density of states at the Fermi level is 3.42 states/eV per cell.

***

Q: The lowest uncorrected energy belongs to which entry?
A: Tm2MgH8

***

Q: Which of these has the lowest uncorrected energy?
A: Tm2MgH8